(1)
Entry from Alexandria via LeMat-Bulk: a geometry-optimized CoSi3 structure (PBE-GGA).

extended XYZ file:
```
12
Lattice="2.912 0.000 0.000 -1.456 2.522 0.000 0.000 0.000 21.144" Properties=species:S:1:pos:R:3 pbc="T T T"
Co 0.000 0.000 0.000
Co 0.000 1.682 14.096
Co 1.456 0.841 7.048
Si 0.000 0.000 5.407
Si 0.000 0.000 10.572
Si 0.000 0.000 15.736
Si 0.000 1.682 3.524
Si 0.000 1.682 8.689
Si 0.000 1.682 19.503
Si 1.456 0.841 1.641
Si 1.456 0.841 12.455
Si 1.456 0.841 17.620
```

Results
Energy (eV/cell): -69.6
Raw formation energy (meV per atom): 48
SG: No. 166
Total moment (μB/cell): 0.00

(2)
Entry from Alexandria via LeMat-Bulk: a geometry-optimized YMg2Hg structure (PBE-GGA).

extended XYZ file:
```
8
Lattice="6.068 0.000 0.000 0.000 3.473 0.000 -2.063 0.000 9.795" Properties=species:S:1:pos:R:3 pbc="T T T"
Y 0.000 0.000 0.000
Y 3.034 1.736 0.000
Mg -0.064 0.000 7.079
Mg 1.988 0.000 2.722
Mg 2.970 1.736 7.079
Mg 5.022 1.736 2.722
Hg 0.959 1.736 4.900
Hg 3.993 0.000 4.900
```

Results
Energy (eV/cell): -20.5
SG: No. 8
Total moment (μB/cell): 0.00
ΔH_f (0 K) (eV per atom): -0.074

(3)
Entry from Alexandria via LeMat-Bulk: a geometry-optimized Pm2MgRh2 structure (PBE-GGA).

extended XYZ file:
```
10
Lattice="-3.919 5.259 2.870 3.919 -5.259 2.870 3.919 5.259 -2.870" Properties=species:S:1:pos:R:3 pbc="T T T"
Pm 1.101 1.701 0.000
Pm 5.019 3.558 0.000
Pm -1.101 1.701 2.870
Pm 2.818 3.558 2.870
Mg 3.919 0.000 1.435
Mg 0.000 5.259 1.435
Rh 6.021 0.974 0.000
Rh 2.102 4.285 0.000
Rh 1.817 0.974 2.870
Rh -2.102 4.285 2.870
```

Results
Energy (eV/cell): -56.9
SG: No. 72
Total moment (μB/cell): 0.00
ΔH_f (0 K) (eV per atom): -0.533